Compound: Nd2Dy7Mg2
Source: Alexandria
Functional: GGA-PBE
Structure: optimized geometry

## Properties
The value obtained for the spin magnetization is 0.0 μB/f.u. The formation enthalpy at 0 K is 0.137 eV per atom.

Lattice parameters (Å, degrees): 6.1190 8.4323 8.4323 84.36 63.77 63.77
With the nearest neighbours (Å) after each atom.
Positions (direct):
Nd  0.5000  0.1976  0.8024  4 Dy 3.30-3.40, 2 Mg 3.50
Nd  0.5000  0.8024  0.1976  4 Dy 3.30-3.40, 2 Mg 3.50
Dy  0.1580  0.0835  0.5796  2 Mg 3.19-3.51, 2 Nd 3.30-3.40, 5 Dy 3.33-3.55
Dy  0.8420  0.4204  0.9165  2 Mg 3.19-3.51, 2 Nd 3.30-3.40, 5 Dy 3.33-3.55
Dy  0.8420  0.9165  0.4204  2 Mg 3.19-3.51, 2 Nd 3.30-3.40, 5 Dy 3.33-3.55
Dy  0.1580  0.5796  0.0835  2 Mg 3.19-3.51, 2 Nd 3.30-3.40, 5 Dy 3.33-3.55
Dy  0.0000  0.0000  0.0000  2 Mg 3.32, 4 Dy 3.33
Dy  0.6222  0.5999  0.5999  3 Mg 3.32-3.48, 3 Dy 3.44-3.60
Dy  0.3778  0.4001  0.4001  3 Mg 3.32-3.48, 3 Dy 3.44-3.60
Mg  0.0432  0.2525  0.2525  8 Dy 3.19-3.51, 2 Nd 3.50
Mg  0.9568  0.7475  0.7475  8 Dy 3.19-3.51, 2 Nd 3.50

---

Compound: Mo12Ir3Os5
Source: Alexandria
Functional: GGA-PBE
Structure: optimized geometry

## Properties
The value obtained for the spin magnetization is 0.0 μB/f.u. The formation enthalpy at 0 K is 0.952 eV per atom.

Lattice parameters (Å, degrees): 12.7111 12.7111 12.7111 109.47 109.47 109.47
With the nearest neighbours (Å) after each atom.
Positions (direct):
Ir  0.7500  0.3750  0.1250  8 Mo 2.62-2.68
Ir  0.8750  0.7500  0.1250  8 Mo 2.62-2.68
Ir  0.3750  0.7500  0.6250  8 Mo 2.62-2.68
Ir  0.2500  0.1250  0.3750  8 Mo 2.62-2.68
Ir  0.8750  0.1250  0.2500  8 Mo 2.62-2.68
Ir  0.3750  0.6250  0.2500  8 Mo 2.62-2.68
Ir  0.6250  0.3750  0.7500  8 Mo 2.62-2.68
Ir  0.1250  0.8750  0.7500  8 Mo 2.62-2.68
Ir  0.7500  0.8750  0.6250  8 Mo 2.62-2.68
Ir  0.6250  0.2500  0.3750  8 Mo 2.62-2.68
Ir  0.1250  0.2500  0.8750  8 Mo 2.62-2.68
Ir  0.2500  0.6250  0.8750  8 Mo 2.62-2.68
Os  0.1250  0.3750  0.2500  4 Mo 2.42
Os  0.0000  0.5000  0.0000  6 Mo 2.54
Os  0.0000  0.0000  0.0000  6 Mo 2.54
Os  0.3750  0.2500  0.1250  4 Mo 2.42
Os  0.5000  0.0000  0.5000  6 Mo 2.54
Os  0.5000  0.5000  0.0000  6 Mo 2.54
Os  0.1250  0.7500  0.3750  4 Mo 2.42
Os  0.7500  0.1250  0.8750  4 Mo 2.42
Os  0.7500  0.6250  0.3750  4 Mo 2.42
Os  0.3750  0.1250  0.7500  4 Mo 2.42
Os  0.6250  0.8750  0.2500  4 Mo 2.42
Os  0.5000  0.5000  0.5000  6 Mo 2.54
Os  0.5000  0.0000  0.0000  6 Mo 2.54
Os  0.0000  0.0000  0.5000  6 Mo 2.54
Os  0.2500  0.3750  0.6250  4 Mo 2.42
Os  0.2500  0.8750  0.1250  4 Mo 2.42
Os  0.0000  0.5000  0.5000  6 Mo 2.54
Os  0.8750  0.2500  0.6250  4 Mo 2.42
Os  0.6250  0.7500  0.8750  4 Mo 2.42
Os  0.8750  0.6250  0.7500  4 Mo 2.42
Mo  0.7302  0.1436  0.0623  2 Os 2.42-2.54, 2 Ir 2.62-2.68, 1 Mo 2.66
Mo  0.3321  0.5623  0.4187  2 Os 2.42-2.54, 2 Ir 2.62-2.68, 1 Mo 2.66
Mo  0.9377  0.3564  0.2698  2 Os 2.42-2.54, 2 Ir 2.62-2.68, 1 Mo 2.66
Mo  0.5623  0.2302  0.1436  2 Os 2.42-2.54, 2 Ir 2.62-2.68, 1 Mo 2.66
Mo  0.5865  0.7302  0.6679  2 Os 2.42-2.54, 2 Ir 2.62-2.68, 1 Mo 2.66
Mo  0.9377  0.5813  0.1679  2 Os 2.42-2.54, 2 Ir 2.62-2.68, 1 Mo 2.66
Mo  0.3321  0.7698  0.4135  2 Os 2.42-2.54, 2 Ir 2.62-2.68, 1 Mo 2.66
Mo  0.0813  0.9135  0.1436  2 Os 2.42-2.54, 2 Ir 2.62-2.68, 1 Mo 2.66
Mo  0.5813  0.9377  0.6679  2 Os 2.42-2.54, 2 Ir 2.62-2.68, 1 Mo 2.66
Mo  0.7302  0.5865  0.1679  2 Os 2.42-2.54, 2 Ir 2.62-2.68, 1 Mo 2.66
Mo  0.7698  0.4377  0.3564  2 Os 2.42-2.54, 2 Ir 2.62-2.68, 1 Mo 2.66
Mo  0.8321  0.9187  0.0623  2 Os 2.42-2.54, 2 Ir 2.62-2.68, 1 Mo 2.66
Mo  0.1436  0.7302  0.5623  2 Os 2.42-2.54, 2 Ir 2.62-2.68, 1 Mo 2.66
Mo  0.3564  0.4187  0.0865  2 Os 2.42-2.54, 2 Ir 2.62-2.68, 1 Mo 2.66
Mo  0.0865  0.9187  0.3564  2 Os 2.42-2.54, 2 Ir 2.62-2.68, 1 Mo 2.66
Mo  0.4135  0.1436  0.5813  2 Os 2.42-2.54, 2 Ir 2.62-2.68, 1 Mo 2.66
Mo  0.0865  0.1679  0.2302  2 Os 2.42-2.54, 2 Ir 2.62-2.68, 1 Mo 2.66
Mo  0.4377  0.6679  0.0813  2 Os 2.42-2.54, 2 Ir 2.62-2.68, 1 Mo 2.66
Mo  0.8321  0.9135  0.2698  2 Os 2.42-2.54, 2 Ir 2.62-2.68, 1 Mo 2.66
Mo  0.1436  0.4135  0.0813  2 Os 2.42-2.54, 2 Ir 2.62-2.68, 1 Mo 2.66
Mo  0.3564  0.9377  0.7698  2 Os 2.42-2.54, 2 Ir 2.62-2.68, 1 Mo 2.66
Mo  0.5813  0.6436  0.4135  2 Os 2.42-2.54, 2 Ir 2.62-2.68, 1 Mo 2.66
Mo  0.9187  0.8321  0.5623  2 Os 2.42-2.54, 2 Ir 2.62-2.68, 1 Mo 2.66
Mo  0.7698  0.3321  0.9135  2 Os 2.42-2.54, 2 Ir 2.62-2.68, 1 Mo 2.66
Mo  0.4187  0.3564  0.5865  2 Os 2.42-2.54, 2 Ir 2.62-2.68, 1 Mo 2.66
Mo  0.0813  0.1679  0.4377  2 Os 2.42-2.54, 2 Ir 2.62-2.68, 1 Mo 2.66
Mo  0.2302  0.6679  0.0865  2 Os 2.42-2.54, 2 Ir 2.62-2.68, 1 Mo 2.66
Mo  0.1679  0.0865  0.7302  2 Os 2.42-2.54, 2 Ir 2.62-2.68, 1 Mo 2.66
Mo  0.6436  0.0623  0.2302  2 Os 2.42-2.54, 2 Ir 2.62-2.68, 1 Mo 2.66
Mo  0.8564  0.5865  0.9187  2 Os 2.42-2.54, 2 Ir 2.62-2.68, 1 Mo 2.66
Mo  0.5623  0.3321  0.9187  2 Os 2.42-2.54, 2 Ir 2.62-2.68, 1 Mo 2.66
Mo  0.5865  0.8564  0.4187  2 Os 2.42-2.54, 2 Ir 2.62-2.68, 1 Mo 2.66
Mo  0.9135  0.8321  0.7698  2 Os 2.42-2.54, 2 Ir 2.62-2.68, 1 Mo 2.66
Mo  0.9135  0.0813  0.6436  2 Os 2.42-2.54, 2 Ir 2.62-2.68, 1 Mo 2.66
Mo  0.8564  0.2698  0.4377  2 Os 2.42-2.54, 2 Ir 2.62-2.68, 1 Mo 2.66
Mo  0.1679  0.0813  0.9377  2 Os 2.42-2.54, 2 Ir 2.62-2.68, 1 Mo 2.66
Mo  0.6436  0.5813  0.9135  2 Os 2.42-2.54, 2 Ir 2.62-2.68, 1 Mo 2.66
Mo  0.4187  0.0623  0.3321  2 Os 2.42-2.54, 2 Ir 2.62-2.68, 1 Mo 2.66
Mo  0.2698  0.4135  0.8321  2 Os 2.42-2.54, 2 Ir 2.62-2.68, 1 Mo 2.66
Mo  0.2302  0.5623  0.6436  2 Os 2.42-2.54, 2 Ir 2.62-2.68, 1 Mo 2.66
Mo  0.9187  0.0865  0.8564  2 Os 2.42-2.54, 2 Ir 2.62-2.68, 1 Mo 2.66
Mo  0.6679  0.2302  0.5865  2 Os 2.42-2.54, 2 Ir 2.62-2.68, 1 Mo 2.66
Mo  0.4377  0.7698  0.8564  2 Os 2.42-2.54, 2 Ir 2.62-2.68, 1 Mo 2.66
Mo  0.0623  0.4187  0.8321  2 Os 2.42-2.54, 2 Ir 2.62-2.68, 1 Mo 2.66
Mo  0.4135  0.2698  0.3321  2 Os 2.42-2.54, 2 Ir 2.62-2.68, 1 Mo 2.66
Mo  0.0623  0.6436  0.7302  2 Os 2.42-2.54, 2 Ir 2.62-2.68, 1 Mo 2.66
Mo  0.6679  0.4377  0.5813  2 Os 2.42-2.54, 2 Ir 2.62-2.68, 1 Mo 2.66
Mo  0.2698  0.8564  0.9377  2 Os 2.42-2.54, 2 Ir 2.62-2.68, 1 Mo 2.66